No. 1
# RbSmRu2O8

A geometry-optimized RbSmRu2O8 structure (PBE, Alexandria). Values from VASP.

Properties
space-group type	P-3 (147)
DFT total energy	-81.57	eV for the cell shown

Structure (Quantum ESPRESSO input):
```
&SYSTEM
  ibrav = 0, nat = 12, ntyp = 4
/
ATOMIC_SPECIES
Rb 85.47 Rb.upf
Sm 150.36 Sm.upf
Ru 101.07 Ru.upf
O 16.00 O.upf
CELL_PARAMETERS angstrom
6.0324 0.0000 0.0000
-3.0162 5.2242 0.0000
0.0000 0.0000 8.1046
ATOMIC_POSITIONS angstrom
Rb 0.0000 0.0000 0.0000
Sm 0.0000 0.0000 4.0523
Ru 0.0000 3.4828 6.1361
Ru 3.0162 1.7414 1.9685
O -0.0561 1.7877 5.5165
O -1.4400 4.3790 5.5165
O 0.0000 3.4828 7.8865
O 1.5201 0.9424 2.5881
O 1.4961 4.2818 5.5165
O 3.0162 1.7414 0.2181
O 4.4562 0.8453 2.5881
O 3.0723 3.4365 2.5881
```



No. 2
# Be2SeBr

A geometry-optimized Be2SeBr structure (PBE, Alexandria). Values from VASP.

Properties
space-group type	F-43m (216)
DFT total energy	-8.33	eV for the cell shown
offset from the most stable computed form	5.47	eV/f.u.

Structure (Quantum ESPRESSO input):
```
&SYSTEM
  ibrav = 0, nat = 4, ntyp = 3
/
ATOMIC_SPECIES
Be 9.01 Be.upf
Se 78.96 Se.upf
Br 79.90 Br.upf
CELL_PARAMETERS angstrom
0.0000 3.2775 3.2775
3.2775 0.0000 3.2775
3.2775 3.2775 0.0000
ATOMIC_POSITIONS angstrom
Be 0.0000 0.0000 0.0000
Be 1.6388 1.6388 1.6388
Se 4.9163 4.9163 4.9163
Br 3.2775 3.2775 3.2775
```



No. 3
# Pa2TiO6

A geometry-optimized Pa2TiO6 structure (PBE, Alexandria). Values from VASP.

Properties
space-group type	P2_1/c (14)
DFT total energy	-172.73	eV for the cell shown

Structure (Quantum ESPRESSO input):
```
&SYSTEM
  ibrav = 0, nat = 18, ntyp = 3
/
ATOMIC_SPECIES
Pa 231.04 Pa.upf
Ti 47.87 Ti.upf
O 16.00 O.upf
CELL_PARAMETERS angstrom
5.4389 0.0000 0.0000
0.0000 5.8649 0.0000
-4.8950 0.0000 7.3474
ATOMIC_POSITIONS angstrom
Pa -0.0032 0.6230 1.8783
Pa -2.4507 2.3095 5.5520
Pa 2.9946 3.5554 1.7954
Pa 0.5471 5.2419 5.4691
Ti 2.7195 0.0000 0.0000
Ti 0.2720 2.9324 3.6737
O -3.9001 0.8952 6.8700
O -1.4527 2.0372 3.1963
O -2.9877 4.0722 6.8120
O -0.5402 4.7251 3.1383
O -1.4489 0.3201 5.5083
O 0.9986 2.6123 1.8346
O -0.4547 3.2526 5.5128
O 1.9928 5.5447 1.8391
O 1.0842 1.1397 4.2091
O 3.5317 1.7927 0.5354
O 1.9966 3.8276 4.1511
O 4.4441 4.9697 0.4774
```



No. 4
# YPt2Rh

A geometry-optimized YPt2Rh structure (PBE, Alexandria). Values from VASP.

Properties
space-group type	F-43m (216)
DFT total energy	-28.17	eV for the cell shown
offset from the most stable computed form	1.03	eV/f.u.
energy relative to the elements	-0.5670	eV per atom

Structure (Quantum ESPRESSO input):
```
&SYSTEM
  ibrav = 0, nat = 4, ntyp = 3
/
ATOMIC_SPECIES
Y 88.91 Y.upf
Pt 195.08 Pt.upf
Rh 102.91 Rh.upf
CELL_PARAMETERS angstrom
0.0000 3.2877 3.2877
3.2877 0.0000 3.2877
3.2877 3.2877 0.0000
ATOMIC_POSITIONS angstrom
Y 0.0000 0.0000 0.0000
Pt 3.2877 3.2877 3.2877
Pt 4.9316 4.9316 4.9316
Rh 1.6439 1.6439 1.6439
```



No. 5
# Li3TaSe4

A geometry-optimized Li3TaSe4 structure (PBE, Alexandria). Values from VASP.

Properties
space-group type	Pmn2_1 (31)
DFT total energy	-79.24	eV for the cell shown

Structure (Quantum ESPRESSO input):
```
&SYSTEM
  ibrav = 0, nat = 16, ntyp = 3
/
ATOMIC_SPECIES
Li 6.94 Li.upf
Ta 180.95 Ta.upf
Se 78.96 Se.upf
CELL_PARAMETERS angstrom
8.3643 0.0000 0.0000
0.0000 7.2799 0.0000
0.0000 0.0000 6.7934
ATOMIC_POSITIONS angstrom
Li 0.0000 1.1167 0.0000
Li 2.0620 2.3786 3.3476
Li 2.1201 4.9013 6.7443
Li 4.1821 6.1632 3.3967
Li 6.2441 4.9013 6.7443
Li 6.3022 2.3786 3.3476
Ta 0.0000 6.0110 3.3599
Ta 4.1821 1.2689 6.7566
Se 0.0000 1.0141 4.1574
Se 0.0000 5.9904 0.9475
Se 1.9924 4.8732 4.1361
Se 2.1897 2.4067 0.7394
Se 4.1821 1.2895 4.3442
Se 4.1821 6.2658 0.7607
Se 6.1745 2.4067 0.7394
Se 6.3718 4.8732 4.1361
```



No. 6
# LaSm2Al2Ga2

A geometry-optimized LaSm2Al2Ga2 structure (PBE, Alexandria). Values from VASP.

Properties
space-group type	R-3m (166)
DFT total energy	-30.87	eV for the cell shown
energy relative to the elements	-0.4232	eV per atom

Structure (Quantum ESPRESSO input):
```
&SYSTEM
  ibrav = 0, nat = 7, ntyp = 4
/
ATOMIC_SPECIES
La 138.91 La.upf
Sm 150.36 Sm.upf
Al 26.98 Al.upf
Ga 69.72 Ga.upf
CELL_PARAMETERS angstrom
2.1646 1.2497 11.2317
-2.1646 1.2497 11.2317
0.0000 -2.4995 11.2317
ATOMIC_POSITIONS angstrom
La 0.0000 0.0000 0.0000
Sm 0.0000 0.0000 4.2635
Sm 0.0000 0.0000 29.4315
Al 0.0000 0.0000 13.3439
Al 0.0000 0.0000 20.3511
Ga 0.0000 0.0000 8.7582
Ga 0.0000 0.0000 24.9369
```